Computed, not measured: a relaxed structure of U3CrHg3Se8 at the GGA-PBE level of DFT.

Summary:
Mass density: 6.45 Mg/m³
Raw total energy: -5.559 eV per atom
Formation energy without anion corrections: -0.74 eV per atom

Unit cell a=7.9041 b=7.9041 c=28.5434 alpha=90.00 beta=90.00 gamma=120.00
Space group R-3m (No. 166, hexagonal axes)
Unique sites:
U  0.0000  0.5000  0.0000
Cr  0.0000  0.0000  0.0000
Hg  0.0000  0.5000  0.5000
Se  0.0000  0.0000  0.2766
Se  0.0221  0.5110  0.7196

Computed, not measured: a relaxed structure of CrSiHg2 at the GGA-PBE level of DFT.

Summary:
Mass density: 10.37 Mg/m³
Raw total energy: -3.388 eV per atom
Formation energy without anion corrections: 0.52 eV per atom

Unit cell a=4.203 b=4.203 c=8.721 alpha=90.00 beta=90.00 gamma=90.00
Space group I-4m2 (No. 119)
Unique sites:
Cr  0.000  0.000  0.000
Si  0.000  0.500  0.250
Hg  0.000  0.000  0.500
Hg  0.000  0.500  0.750

Computed, not measured: a relaxed structure of CrSiHg2 at the GGA-PBE level of DFT.

Summary:
Mass density: 9.82 Mg/m³
Raw total energy: -3.322 eV per atom
Formation energy without anion corrections: 0.59 eV per atom

Unit cell a=3.3141 b=3.3141 c=25.6622 alpha=90.00 beta=90.00 gamma=120.00
Space group R-3m (No. 166, hexagonal axes)
Unique sites:
Cr  0.0000  0.0000  0.0000
Si  0.0000  0.0000  0.5000
Hg  0.0000  0.0000  0.2506